Er4Si2Ge5 GGA-PBE relaxed; uncorrected formation energy = -0.648 eV per atom
1.0
-1.318 2.967 2.472
-6.347 -2.596 -0.268
1.171 -4.799 6.384
Er Ge Si
4 5 2
direct
0.500 0.758 0.395 Er
0.500 0.772 0.870 Er
0.500 0.228 0.130 Er
0.500 0.242 0.605 Er
0.000 0.131 0.872 Ge
0.000 0.869 0.128 Ge
0.000 0.552 0.658 Ge
0.000 0.500 0.000 Ge
0.000 0.448 0.342 Ge
0.000 0.088 0.371 Si
0.000 0.912 0.629 Si



PrHoAlZn GGA-PBE relaxed; formation energy = -0.34 eV/atom; E above lowest polymorph = 0.014 eV/atom
1.0
-0.770 4.230 -2.891
-2.293 -0.407 -4.629
-4.798 1.832 -0.685
Pr Zn Al Ho
1 1 1 1
direct
0.750 0.750 0.750 Pr
0.500 0.500 0.500 Zn
0.000 0.000 0.000 Al
0.250 0.250 0.250 Ho



CaRe2Ir GGA-PBE relaxed; formation energy = 0.46 eV/atom; E above lowest polymorph = 0.218 eV/atom
1.0
-0.081 -3.980 -2.161
3.146 -0.949 -3.118
3.177 -3.111 0.862
Re Ca Ir
2 1 1
direct
0.250 0.250 0.250 Re
0.000 0.000 0.000 Re
0.500 0.500 0.500 Ca
0.750 0.750 0.750 Ir



Pm3Cd2Rh3 GGA-PBE relaxed; formation energy = -0.51 eV/atom; E above lowest polymorph = 0.026 eV/atom
1.0
-0.189 2.946 1.824
0.510 -2.550 4.172
10.099 0.842 -3.615
Cd Pm Rh
2 3 3
direct
0.731 0.231 0.461 Cd
0.269 0.769 0.539 Cd
0.377 0.377 0.755 Pm
0.500 0.000 0.000 Pm
0.623 0.623 0.245 Pm
0.119 0.119 0.238 Rh
0.881 0.881 0.762 Rh
0.000 0.500 0.000 Rh



HoHf2Al GGA-PBE relaxed; formation energy = 0.24 eV/atom; E above lowest polymorph = 0.367 eV/atom
1.0
3.088 0.000 0.000
1.544 2.674 0.000
1.544 0.891 11.161
Hf Ho Al
2 1 1
direct
0.095 0.095 0.716 Hf
0.905 0.905 0.284 Hf
0.000 0.000 0.000 Ho
0.500 0.500 0.500 Al



| no. | final energy (eV per atom) | total magnetic moment (Bohr magnetons per cell) |
| --- | --- | --- |
| 1 | -5.392 | 0.0 |
| 2 | -3.930 | 0.0 |
| 3 | -8.483 | 0.0 |
| 4 | -5.276 | 0.0 |
| 5 | -6.818 | 0.0 |